[1]
A relaxed structure of Sc2Re. Source: Alexandria, functional PBE-GGA. Values from VASP.

Quantum ESPRESSO input file:
```
&SYSTEM
  ibrav = 0, nat = 6, ntyp = 2
/
ATOMIC_SPECIES
Sc 44.96 Sc.upf
Re 186.21 Re.upf
CELL_PARAMETERS angstrom
-1.607 1.607 12.587
1.607 -1.607 12.587
1.607 1.607 -12.587
ATOMIC_POSITIONS angstrom
Sc 1.607 0.804 1.571
Sc 1.607 0.804 4.722
Sc 0.000 0.804 7.865
Sc 0.000 0.804 11.015
Re 1.607 -0.804 9.440
Re 0.000 2.411 3.147
```

## Properties
The value obtained for the volume is 21.68 Å³/atom. The symmetry is No. 141. For the total DFT energy (no corrections), the calculation gives -50.144 eV for the cell shown. As for the energy relative to the elements: 0.013 eV per atom.

---

[2]
A relaxed structure of Sc3Re. Source: Alexandria, functional PBE-GGA. Values from VASP.

Quantum ESPRESSO input file:
```
&SYSTEM
  ibrav = 0, nat = 4, ntyp = 2
/
ATOMIC_SPECIES
Sc 44.96 Sc.upf
Re 186.21 Re.upf
CELL_PARAMETERS angstrom
0.000 3.392 3.392
3.392 0.000 3.392
3.392 3.392 0.000
ATOMIC_POSITIONS angstrom
Sc 0.000 0.000 0.000
Sc 1.696 1.696 1.696
Sc 5.089 5.089 5.089
Re 3.392 3.392 3.392
```

## Properties
The value obtained for the volume is 19.52 Å³/atom. The symmetry is No. 225. For the total DFT energy (no corrections), the calculation gives -31.287 eV for the cell shown. As for the energy relative to the elements: 0.039 eV per atom.